No. 1
# Pm2Ga5Ni5

A relaxed structure of Pm2Ga5Ni5 (PBE-GGA, OQMD).

Structure (POSCAR):
```
Pm2Ga5Ni5
1.0
-0.9893 -3.2912 -2.1303
4.4313 0.4726 -2.7880
4.2891 -5.1380 5.9461
Ga Ni Pm
5 5 2
Direct
0.5000 0.2507 0.2365 Ga
0.5000 0.7493 0.2365 Ga
0.5000 0.0000 0.5000 Ga
0.5000 0.2507 0.7635 Ga
0.5000 0.7493 0.7635 Ga
0.5000 0.5000 0.0000 Ni
0.0000 0.5000 0.1696 Ni
0.0000 0.0000 0.3350 Ni
0.0000 0.0000 0.6650 Ni
0.0000 0.5000 0.8304 Ni
0.0000 0.0000 0.0000 Pm
0.0000 0.5000 0.5000 Pm
```

Values from the calculation:
- symmetry = Pmmm (47)
- total DFT energy (no corrections) (eV per atom) = -4.9181

***

No. 2
# Pr2GaNi

A relaxed structure of Pr2GaNi (PBE-GGA, OQMD).

Structure (POSCAR):
```
Pr2GaNi
1.0
-2.2286 3.7965 -0.0365
3.5743 2.1398 4.3279
5.1293 3.0189 0.8134
Ga Ni Pr
1 1 2
Direct
0.0000 0.5652 0.5652 Ga
0.5000 0.4387 0.4387 Ni
0.5000 0.1392 0.1392 Pr
0.0000 0.8569 0.8569 Pr
```

Values from the calculation:
- symmetry = Amm2 (38)
- total DFT energy (no corrections) (eV per atom) = -4.9346

***

No. 3
# Pr3Ga2Ni6

A relaxed structure of Pr3Ga2Ni6 (PBE-GGA, OQMD).

Structure (POSCAR):
```
Pr3Ga2Ni6
1.0
-4.5485 4.5485 4.5485
4.5485 -4.5485 4.5485
4.5485 4.5485 -4.5485
Ga Ni Pr
4 12 6
Direct
0.5000 0.0000 0.0000 Ga
0.0000 0.5000 0.0000 Ga
0.0000 0.0000 0.5000 Ga
0.5000 0.5000 0.5000 Ga
0.6640 0.3360 0.0000 Ni
0.3360 0.6640 0.0000 Ni
0.6640 0.6640 0.3279 Ni
0.6640 0.0000 0.3360 Ni
0.6721 0.3360 0.3360 Ni
0.0000 0.6640 0.3360 Ni
0.3360 0.6721 0.3360 Ni
0.3360 0.0000 0.6640 Ni
0.6640 0.3279 0.6640 Ni
0.0000 0.3360 0.6640 Ni
0.3279 0.6640 0.6640 Ni
0.3360 0.3360 0.6721 Ni
0.2886 0.2886 0.0000 Pr
0.7114 0.7114 0.0000 Pr
0.2886 0.0000 0.2886 Pr
0.0000 0.2886 0.2886 Pr
0.7114 0.0000 0.7114 Pr
0.0000 0.7114 0.7114 Pr
```

Values from the calculation:
- symmetry = Im-3m (229)
- total DFT energy (no corrections) (eV per atom) = -5.3263

***

No. 4
# Pr3Ga10Ni

A relaxed structure of Pr3Ga10Ni (PBE-GGA, OQMD).

Structure (POSCAR):
```
Pr3Ga10Ni
1.0
4.2959 0.0000 0.0000
0.0000 4.2735 0.0000
0.0000 0.0000 15.3414
Ga Ni Pr
10 1 3
Direct
0.5000 0.0000 0.0839 Ga
0.0000 0.5000 0.0844 Ga
0.5000 0.5000 0.1824 Ga
0.5000 0.5000 0.3412 Ga
0.0000 0.5000 0.4188 Ga
0.0000 0.5000 0.5812 Ga
0.5000 0.5000 0.6588 Ga
0.5000 0.5000 0.8176 Ga
0.0000 0.5000 0.9156 Ga
0.5000 0.0000 0.9161 Ga
0.0000 0.0000 0.0000 Ni
0.0000 0.0000 0.2466 Pr
0.5000 0.0000 0.5000 Pr
0.0000 0.0000 0.7534 Pr
```

Values from the calculation:
- symmetry = Pmmm (47)
- total DFT energy (no corrections) (eV per atom) = -4.1491